1.
Density functional theory data (PBEsol) for a relaxed Cd2AgHg crystal.

Symmetry   P4/mmm (123)
Theoretical density   11.42 g/cm³

Cell and atoms, written as extended XYZ:
```
4
Lattice="-0.8183 -3.8369 -1.2485 -1.0277 -1.1048 4.0689 -4.1271 1.1203 -0.7382" Properties=species:S:1:pos:R:3 pbc="T T T"
Hg -2.9865 -1.9107 1.0411
Ag -0.4091 -1.9185 -0.6242
Cd -2.0635 0.5602 -0.3691
Cd -0.5138 -0.5524 2.0345
```

2.
Density functional theory data (PBEsol) for a relaxed Rb4Re6S13 crystal.

Symmetry   C2/c (15)
Energy relative to the elements, uncorrected   -18.46 eV per formula unit
Theoretical density   5.62 g/cm³

Cell and atoms, written as extended XYZ:
```
46
Lattice="9.6166 -0.0649 0.0126 -4.7179 8.3800 0.0126 -1.1488 -1.9501 13.8047" Properties=species:S:1:pos:R:3 pbc="T T T"
Rb 5.0458 3.9560 8.5736
Rb 2.1609 -0.9409 12.1586
Rb -1.2960 2.4091 5.2563
Rb 1.5889 7.3060 1.6712
Rb 0.1241 1.2014 9.0834
Rb 2.1848 4.6993 11.6488
Rb 3.6258 5.1637 4.7464
Rb 1.5651 1.6658 2.1810
Re 6.2039 5.6269 0.3023
Re 2.4096 -0.8136 6.6251
Re -2.4540 0.7382 13.5275
Re 1.3403 7.1787 7.2047
Re 4.1013 0.0747 8.4213
Re 5.0980 1.7665 12.3109
Re -0.3514 6.2903 5.4085
Re -1.3481 4.5986 1.5189
Re -2.3647 3.2359 12.7628
Re -0.8011 5.8900 7.9694
Re 6.1146 3.1292 1.0670
Re 4.5509 0.4751 5.8604
S 2.7587 1.5437 7.0530
S 3.1624 2.2289 13.6792
S 0.9912 4.8214 6.7769
S 0.5875 4.1362 0.1506
S 5.3069 4.1149 11.7664
S 2.1485 -1.2462 8.9658
S -1.5570 2.2502 2.0634
S 1.6014 7.6113 4.8640
S 6.1053 1.1629 7.5904
S 5.1175 -0.5137 13.1418
S -2.3554 5.2022 6.2394
S -1.3677 6.8788 0.6880
S -2.4202 1.3938 11.2218
S 0.7833 6.8314 9.5104
S 6.1700 4.9713 2.6080
S 2.9666 -0.4663 4.3194
S -1.3286 4.0116 9.3769
S -0.9773 4.6077 11.3552
S 5.0784 2.3535 4.4529
S 4.7272 1.7574 2.4746
S -0.9907 -1.1857 13.0876
S 3.7324 6.8313 7.6446
S 4.7406 7.5508 0.7422
S 0.0175 -0.4662 6.1852
S 3.6443 1.4835 10.3661
S 0.1056 4.8816 3.4637
```

3.
Density functional theory data (PBEsol) for a relaxed Nb12IrAu3 crystal.

Symmetry   Pmmm (47)
Theoretical density   11.40 g/cm³

Cell and atoms, written as extended XYZ:
```
16
Lattice="5.1651 0.0000 0.0000 0.0000 5.1723 0.0000 0.0000 0.0000 10.3470" Properties=species:S:1:pos:R:3 pbc="T T T"
Nb 2.5826 0.0000 3.9137
Nb 2.5826 0.0000 9.0445
Nb 3.8745 2.5862 0.0000
Nb 3.8976 2.5862 5.1735
Nb 0.0000 3.8955 2.6249
Nb 0.0000 3.8955 7.7220
Nb 2.5826 0.0000 1.3025
Nb 2.5826 0.0000 6.4332
Nb 1.2906 2.5862 0.0000
Nb 1.2675 2.5862 5.1735
Nb 0.0000 1.2769 2.6249
Nb 0.0000 1.2769 7.7220
Ir 0.0000 0.0000 5.1735
Au 2.5826 2.5862 2.5933
Au 2.5826 2.5862 7.7537
Au 0.0000 0.0000 0.0000
```

4.
Density functional theory data (PBEsol) for a relaxed Li2TeCl crystal.

Symmetry   P-1 (2)
Energy relative to the lowest polymorph listed for this composition   0.0 meV per atom
Energy relative to the elements, uncorrected   -4.91 eV per formula unit
Theoretical density   3.84 g/cm³

Cell and atoms, written as extended XYZ:
```
4
Lattice="3.4829 -0.0397 -0.0024 -1.5216 3.1393 -0.0018 -1.7335 -1.0813 7.0352" Properties=species:S:1:pos:R:3 pbc="T T T"
Te 0.8747 -0.5605 3.5164
Li 2.6586 0.4863 1.4388
Li -2.4308 1.5320 5.5923
Cl 0.9806 1.5498 -0.0021
```

| no. | raw total energy (eV/atom) |
| --- | --- |
| 1 | -1.583 |
| 2 | -6.937 |
| 3 | -9.657 |
| 4 | -3.594 |